<a>
## NaTl3Pd2 (PBE)

Data for NaTl3Pd2 after structural relaxation.

Structure (CIF):
```
data_NaTl3Pd2
_space_group_name_H-M_alt 'C m c m'
_space_group_IT_number 63
_space_group_name_Hall '-C 2c 2'
_cell_length_a 10.1289
_cell_length_b 9.3815
_cell_length_c 5.7843
_cell_angle_alpha 90.00
_cell_angle_beta 90.00
_cell_angle_gamma 90.00
loop_
_atom_site_label
_atom_site_fract_x
_atom_site_fract_y
_atom_site_fract_z
Na1 0.0000 0.0756 0.2500
Tl1 0.0000 0.4094 0.2500
Tl2 0.1627 0.2413 0.7500
Pd1 0.2329 0.5000 0.0000
```

***

<b>
## NaTl3Pd2 (PBE)

Data for NaTl3Pd2 after structural relaxation.

Structure (CIF):
```
data_NaTl3Pd2
_space_group_name_H-M_alt 'C m c m'
_space_group_IT_number 63
_space_group_name_Hall '-C 2c 2'
_cell_length_a 14.9852
_cell_length_b 6.8418
_cell_length_c 5.7536
_cell_angle_alpha 90.00
_cell_angle_beta 90.00
_cell_angle_gamma 90.00
loop_
_atom_site_label
_atom_site_fract_x
_atom_site_fract_y
_atom_site_fract_z
Na1 0.0000 0.1673 0.2500
Tl1 0.0000 0.3497 0.7500
Tl2 0.1986 0.1395 0.7500
Pd1 0.1488 0.5000 0.0000
```

***

Stability, lowest: <b>